[1]
! Er5Tm2Tl4 | Alexandria via LeMat-Bulk | PBE-GGA | relaxed; values from VASP
&SYSTEM
  ibrav = 0, nat = 11, ntyp = 3
/
ATOMIC_SPECIES
Er 167.26 Er.upf
Tm 168.93 Tm.upf
Tl 204.38 Tl.upf
CELL_PARAMETERS angstrom
-3.223 -0.303 -1.146
-1.650 -5.724 6.151
-1.650 13.544 6.202
ATOMIC_POSITIONS angstrom
Er -1.970 3.113 4.715
Er -4.553 4.404 6.492
Er -1.320 5.366 2.294
Er -1.611 -0.151 -0.573
Er -5.202 2.152 8.913
Tm -0.790 2.037 1.683
Tm -5.732 5.481 9.523
Tl -4.042 1.124 5.922
Tl -0.526 -1.823 1.959
Tl -2.481 6.393 5.284
Tl -1.125 -3.901 4.192
! Spin magnetization, Bohr magnetons per cell: 0.0
! Energy, eV per atom: -3.4020
! Calculated formation energy, meV per atom: 345
! Symmetry: No. 71
! DOS at the Fermi energy, states/eV/cell: 13.71

[2]
! Er5Tm5Tl | Alexandria via LeMat-Bulk | PBE-GGA | relaxed; values from VASP
&SYSTEM
  ibrav = 0, nat = 11, ntyp = 3
/
ATOMIC_SPECIES
Er 167.26 Er.upf
Tm 168.93 Tm.upf
Tl 204.38 Tl.upf
CELL_PARAMETERS angstrom
6.027 0.000 0.000
-3.014 5.220 0.000
0.000 0.000 11.094
ATOMIC_POSITIONS angstrom
Er 3.014 1.740 2.119
Er 3.014 1.740 8.975
Er 0.000 3.480 3.266
Er 0.000 3.480 7.829
Er 0.000 0.000 0.000
Tm 1.531 0.884 5.547
Tm 0.000 0.000 2.979
Tm 3.014 3.451 5.547
Tm 4.496 0.884 5.547
Tm 0.000 0.000 8.116
Tl 0.000 3.480 0.000
! Spin magnetization, Bohr magnetons per cell: 0.0
! Energy, eV per atom: -3.9843
! Calculated formation energy, meV per atom: 337
! Symmetry: No. 187
! DOS at the Fermi energy, states/eV/cell: 20.24

[3]
! ErTm2Tl | Alexandria via LeMat-Bulk | PBE-GGA | relaxed; values from VASP
&SYSTEM
  ibrav = 0, nat = 8, ntyp = 3
/
ATOMIC_SPECIES
Er 167.26 Er.upf
Tm 168.93 Tm.upf
Tl 204.38 Tl.upf
CELL_PARAMETERS angstrom
-0.356 -1.604 3.248
6.465 1.386 -0.646
-1.483 8.890 4.228
ATOMIC_POSITIONS angstrom
Er 5.241 1.958 3.582
Er -0.616 6.714 3.248
Tm 3.872 5.180 2.983
Tm 0.754 3.492 3.847
Tm 3.231 9.022 4.810
Tm 1.395 -0.349 2.020
Tl 1.892 6.161 5.291
Tl 2.733 2.511 1.539
! Spin magnetization, Bohr magnetons per cell: 0.6
! Energy, eV per atom: -4.1239
! Calculated formation energy, meV per atom: -156
! Symmetry: No. 63
! DOS at the Fermi energy, states/eV/cell: 9.72
! Energy above the lowest structure with this stoichiometry, meV per atom: 5.9

[4]
! Er2Tm5Tl4 | Alexandria via LeMat-Bulk | PBE-GGA | relaxed; values from VASP
&SYSTEM
  ibrav = 0, nat = 11, ntyp = 3
/
ATOMIC_SPECIES
Er 167.26 Er.upf
Tm 168.93 Tm.upf
Tl 204.38 Tl.upf
CELL_PARAMETERS angstrom
-1.789 1.500 -2.510
6.118 -2.025 -5.569
-8.728 -12.106 1.326
ATOMIC_POSITIONS angstrom
Er -1.269 -2.392 -0.525
Er -3.130 -10.240 -6.228
Tm -1.446 -5.386 -2.187
Tm -2.953 -7.245 -4.566
Tm -3.848 -4.591 -0.001
Tm -0.894 0.750 -1.255
Tm -0.551 -8.040 -6.752
Tl -0.408 -5.111 -5.103
Tl 1.944 -0.643 -1.770
Tl -3.991 -7.520 -1.650
Tl 4.174 -1.381 -3.799
! Spin magnetization, Bohr magnetons per cell: 0.0
! Energy, eV per atom: -3.3771
! Calculated formation energy, meV per atom: 346
! Symmetry: No. 71
! DOS at the Fermi energy, states/eV/cell: 13.65

[5]
! Er6Tm3Tl | Alexandria via LeMat-Bulk | PBE-GGA | relaxed; values from VASP
&SYSTEM
  ibrav = 0, nat = 20, ntyp = 3
/
ATOMIC_SPECIES
Er 167.26 Er.upf
Tm 168.93 Tm.upf
Tl 204.38 Tl.upf
CELL_PARAMETERS angstrom
3.459 0.000 0.000
0.000 12.118 -3.276
0.000 1.129 14.011
ATOMIC_POSITIONS angstrom
Er 2.594 6.704 8.080
Er 0.865 6.543 2.656
Er 2.594 9.865 -1.604
Er 0.865 3.381 12.340
Er 2.594 4.290 0.522
Er 0.865 8.957 10.213
Er 2.594 9.465 1.847
Er 0.865 3.782 8.889
Er 2.594 1.939 6.173
Er 0.865 11.308 4.562
Er 2.594 10.164 7.486
Er 0.865 3.083 3.249
Tm 2.594 6.137 11.275
Tm 0.865 7.110 -0.540
Tm 2.594 8.178 4.979
Tm 0.865 5.069 5.757
Tm 2.594 1.017 1.167
Tm 0.865 12.230 9.568
Tl 2.594 1.206 10.029
Tl 0.865 12.041 0.706
! Spin magnetization, Bohr magnetons per cell: 0.0
! Energy, eV per atom: -4.2980
! Calculated formation energy, meV per atom: 18
! Symmetry: No. 11
! DOS at the Fermi energy, states/eV/cell: 29.41
! Energy above the lowest structure with this stoichiometry, meV per atom: 26.8

[6]
! Er5Tm2Tl | Alexandria via LeMat-Bulk | PBE-GGA | relaxed; values from VASP
&SYSTEM
  ibrav = 0, nat = 8, ntyp = 3
/
ATOMIC_SPECIES
Er 167.26 Er.upf
Tm 168.93 Tm.upf
Tl 204.38 Tl.upf
CELL_PARAMETERS angstrom
-3.370 0.878 -0.254
1.355 2.572 -9.079
1.134 -8.745 2.696
ATOMIC_POSITIONS angstrom
Er 0.677 1.286 -4.539
Er -1.752 -0.584 -2.792
Er 0.869 -4.710 -3.844
Er -1.037 0.772 -7.580
Er 0.155 -6.067 0.944
Tm -0.053 -1.798 -5.522
Tm -0.829 -3.497 -1.114
Tl 0.000 0.000 0.000
! Spin magnetization, Bohr magnetons per cell: 0.0
! Energy, eV per atom: -4.3146
! Calculated formation energy, meV per atom: -49
! Symmetry: No. 65
! DOS at the Fermi energy, states/eV/cell: 10.80
! Energy above the lowest structure with this stoichiometry, meV per atom: 0.0

[7]
! ErTm5Tl | Alexandria via LeMat-Bulk | PBE-GGA | relaxed; values from VASP
&SYSTEM
  ibrav = 0, nat = 7, ntyp = 3
/
ATOMIC_SPECIES
Er 167.26 Er.upf
Tm 168.93 Tm.upf
Tl 204.38 Tl.upf
CELL_PARAMETERS angstrom
6.105 0.000 0.000
0.000 7.940 0.000
-3.052 -3.970 5.694
ATOMIC_POSITIONS angstrom
Er 5.109 0.000 0.000
Tm 1.302 0.000 2.862
Tm 0.230 3.970 0.000
Tm 4.354 3.970 2.832
Tm 2.036 6.474 0.000
Tm 2.036 1.466 0.000
Tl 3.435 3.970 0.000
! Spin magnetization, Bohr magnetons per cell: 0.0
! Energy, eV per atom: -3.4267
! Calculated formation energy, meV per atom: 757
! Symmetry: No. 44
! DOS at the Fermi energy, states/eV/cell: 8.56

[8]
! ErTm2Tl9 | Alexandria via LeMat-Bulk | PBE-GGA | relaxed; values from VASP
&SYSTEM
  ibrav = 0, nat = 12, ntyp = 3
/
ATOMIC_SPECIES
Er 167.26 Er.upf
Tm 168.93 Tm.upf
Tl 204.38 Tl.upf
CELL_PARAMETERS angstrom
-2.423 -2.809 2.968
-1.701 -2.444 -3.702
11.143 -8.849 0.721
ATOMIC_POSITIONS angstrom
Er 0.000 0.000 0.000
Tm 3.714 -2.949 0.240
Tm 7.429 -5.900 0.481
Tl -2.062 -2.627 -0.367
Tl 1.653 -5.577 -0.126
Tl 5.366 -8.525 0.114
Tl 0.649 -2.882 1.605
Tl 4.360 -5.829 1.845
Tl 8.071 -8.776 2.085
Tl 1.010 -2.700 -1.730
Tl 4.721 -5.647 -1.490
Tl 8.431 -8.593 -1.250
! Spin magnetization, Bohr magnetons per cell: 0.0
! Energy, eV per atom: -3.0870
! Calculated formation energy, meV per atom: -187
! Symmetry: No. 123
! DOS at the Fermi energy, states/eV/cell: 2.72

[9]
! Er6TmTl5 | Alexandria via LeMat-Bulk | PBE-GGA | relaxed; values from VASP
&SYSTEM
  ibrav = 0, nat = 12, ntyp = 3
/
ATOMIC_SPECIES
Tl 204.38 Tl.upf
Tm 168.93 Tm.upf
Er 167.26 Er.upf
CELL_PARAMETERS angstrom
-3.784 -0.817 -3.100
4.924 -5.696 -4.510
-2.987 -2.336 8.229
ATOMIC_POSITIONS angstrom
Tl -2.600 -2.046 -0.254
Tl -1.548 -3.581 2.832
Tl 2.462 -2.848 -2.255
Tl -0.299 -5.268 -2.213
Tl 0.753 -6.803 0.873
Tm 0.000 0.000 0.000
Er -2.324 -5.451 0.306
Er -4.654 -2.756 2.440
Er 1.682 -4.542 -4.823
Er -0.542 -1.970 -2.787
Er 2.807 -6.093 -1.821
Er 0.477 -3.398 0.313
! Spin magnetization, Bohr magnetons per cell: 0.3
! Energy, eV per atom: -3.8936
! Calculated formation energy, meV per atom: -254
! Symmetry: No. 71
! DOS at the Fermi energy, states/eV/cell: 12.25

[10]
! ErTm2Tl2 | Alexandria via LeMat-Bulk | PBE-GGA | relaxed; values from VASP
&SYSTEM
  ibrav = 0, nat = 10, ntyp = 3
/
ATOMIC_SPECIES
Er 167.26 Er.upf
Tm 168.93 Tm.upf
Tl 204.38 Tl.upf
CELL_PARAMETERS angstrom
0.403 -4.748 2.080
-0.217 -4.826 -4.453
8.935 -5.291 -0.788
ATOMIC_POSITIONS angstrom
Er 3.269 -9.442 -2.667
Er 5.852 -5.422 -0.494
Tm 2.323 -6.110 -1.385
Tm 7.749 -12.084 -3.059
Tm 1.372 -2.780 -0.103
Tm 6.799 -8.753 -1.776
Tl 0.280 -4.179 -3.083
Tl 4.357 -8.037 0.322
Tl 8.842 -10.685 -0.079
Tl 4.764 -6.827 -3.483
! Spin magnetization, Bohr magnetons per cell: 0.0
! Energy, eV per atom: -3.9083
! Calculated formation energy, meV per atom: -261
! Symmetry: No. 2
! DOS at the Fermi energy, states/eV/cell: 7.25
! Energy above the lowest structure with this stoichiometry, meV per atom: 0.0

[11]
! ErTm2Tl | Alexandria via LeMat-Bulk | PBE-GGA | relaxed; values from VASP
&SYSTEM
  ibrav = 0, nat = 4, ntyp = 3
/
ATOMIC_SPECIES
Tl 204.38 Tl.upf
Tm 168.93 Tm.upf
Er 167.26 Er.upf
CELL_PARAMETERS angstrom
4.793 0.000 0.000
0.000 4.798 0.000
0.000 0.000 4.798
ATOMIC_POSITIONS angstrom
Tl 2.397 0.000 0.000
Tm 0.000 0.000 2.399
Tm 0.000 2.399 0.000
Er 2.397 2.399 2.399
! Spin magnetization, Bohr magnetons per cell: 0.4
! Energy, eV per atom: -4.1294
! Calculated formation energy, meV per atom: -161
! Symmetry: No. 123
! DOS at the Fermi energy, states/eV/cell: 5.28
! Energy above the lowest structure with this stoichiometry, meV per atom: 0.4

[12]
! Er9TmTl2 | Alexandria via LeMat-Bulk | PBE-GGA | relaxed; values from VASP
&SYSTEM
  ibrav = 0, nat = 12, ntyp = 3
/
ATOMIC_SPECIES
Er 167.26 Er.upf
Tm 168.93 Tm.upf
Tl 204.38 Tl.upf
CELL_PARAMETERS angstrom
4.832 0.000 0.000
0.000 4.832 0.000
0.000 0.000 14.798
ATOMIC_POSITIONS angstrom
Er 2.416 2.416 0.000
Er 2.416 2.416 4.982
Er 2.416 2.416 9.816
Er 2.416 0.000 2.520
Er 2.416 0.000 7.399
Er 2.416 0.000 12.278
Er 0.000 2.416 2.520
Er 0.000 2.416 7.399
Er 0.000 2.416 12.278
Tm 0.000 0.000 0.000
Tl 0.000 0.000 5.018
Tl 0.000 0.000 9.780
! Spin magnetization, Bohr magnetons per cell: 0.0
! Energy, eV per atom: -4.2934
! Calculated formation energy, meV per atom: -104
! Symmetry: No. 123
! DOS at the Fermi energy, states/eV/cell: 14.21

[13]
! Er2TmTl | Alexandria via LeMat-Bulk | PBE-GGA | relaxed; values from VASP
&SYSTEM
  ibrav = 0, nat = 4, ntyp = 3
/
ATOMIC_SPECIES
Tl 204.38 Tl.upf
Tm 168.93 Tm.upf
Er 167.26 Er.upf
CELL_PARAMETERS angstrom
-3.290 1.085 -0.630
-2.680 -1.337 1.852
-0.800 7.849 7.855
ATOMIC_POSITIONS angstrom
Tl 0.000 0.000 0.000
Tm -3.385 3.798 4.538
Er -1.703 1.831 2.205
Er -5.067 5.766 6.872
! Spin magnetization, Bohr magnetons per cell: 0.0
! Energy, eV per atom: -4.0968
! Calculated formation energy, meV per atom: -106
! Symmetry: No. 166
! DOS at the Fermi energy, states/eV/cell: 4.05
! Energy above the lowest structure with this stoichiometry, meV per atom: 58.6

[14]
! Er2TmTl4 | Alexandria via LeMat-Bulk | PBE-GGA | relaxed; values from VASP
&SYSTEM
  ibrav = 0, nat = 7, ntyp = 3
/
ATOMIC_SPECIES
Tl 204.38 Tl.upf
Tm 168.93 Tm.upf
Er 167.26 Er.upf
CELL_PARAMETERS angstrom
6.060 -0.014 -2.141
-3.024 5.249 -2.145
-0.008 0.014 6.427
ATOMIC_POSITIONS angstrom
Tl 3.030 -0.007 -1.071
Tl 1.514 2.625 1.071
Tl -0.004 0.007 3.213
Tl -1.512 2.625 -1.072
Tm 0.000 0.000 0.000
Er 1.518 2.618 -2.143
Er 3.026 0.000 2.143
! Spin magnetization, Bohr magnetons per cell: 0.0
! Energy, eV per atom: -3.4998
! Calculated formation energy, meV per atom: -205
! Symmetry: No. 139
! DOS at the Fermi energy, states/eV/cell: 5.31
! Energy above the lowest structure with this stoichiometry, meV per atom: 0.0

[15]
! Er2TmTl | Alexandria via LeMat-Bulk | PBE-GGA | relaxed; values from VASP
&SYSTEM
  ibrav = 0, nat = 8, ntyp = 3
/
ATOMIC_SPECIES
Er 167.26 Er.upf
Tm 168.93 Tm.upf
Tl 204.38 Tl.upf
CELL_PARAMETERS angstrom
3.645 0.001 0.000
-1.820 6.408 0.000
0.000 0.000 9.974
ATOMIC_POSITIONS angstrom
Er 0.005 4.761 5.346
Er 1.821 1.649 4.628
Er 0.005 4.761 9.615
Er 1.821 1.649 0.359
Tm 1.825 5.886 2.494
Tm 0.001 0.523 7.481
Tl 1.828 3.222 7.481
Tl -0.002 3.188 2.494
! Spin magnetization, Bohr magnetons per cell: 0.3
! Energy, eV per atom: -4.1459
! Calculated formation energy, meV per atom: -155
! Symmetry: No. 63
! DOS at the Fermi energy, states/eV/cell: 10.02
! Energy above the lowest structure with this stoichiometry, meV per atom: 9.6

[16]
! ErTm12Tl3 | Alexandria via LeMat-Bulk | PBE-GGA | relaxed; values from VASP
&SYSTEM
  ibrav = 0, nat = 16, ntyp = 3
/
ATOMIC_SPECIES
Er 167.26 Er.upf
Tm 168.93 Tm.upf
Tl 204.38 Tl.upf
CELL_PARAMETERS angstrom
4.806 0.000 0.000
0.000 4.806 0.000
0.000 0.000 19.539
ATOMIC_POSITIONS angstrom
Er 0.000 0.000 0.000
Tm 2.403 2.403 0.000
Tm 2.403 2.403 4.971
Tm 2.403 2.403 9.769
Tm 2.403 2.403 14.568
Tm 2.403 0.000 2.518
Tm 2.403 0.000 7.369
Tm 2.403 0.000 12.170
Tm 2.403 0.000 17.021
Tm 0.000 2.403 2.518
Tm 0.000 2.403 7.369
Tm 0.000 2.403 12.170
Tm 0.000 2.403 17.021
Tl 0.000 0.000 5.001
Tl 0.000 0.000 9.769
Tl 0.000 0.000 14.538
! Spin magnetization, Bohr magnetons per cell: 0.0
! Energy, eV per atom: -4.1966
! Calculated formation energy, meV per atom: -114
! Symmetry: No. 123
! DOS at the Fermi energy, states/eV/cell: 18.96

[17]
! Er3TmTl4 | Alexandria via LeMat-Bulk | PBE-GGA | relaxed; values from VASP
&SYSTEM
  ibrav = 0, nat = 16, ntyp = 3
/
ATOMIC_SPECIES
Er 167.26 Er.upf
Tm 168.93 Tm.upf
Tl 204.38 Tl.upf
CELL_PARAMETERS angstrom
-1.734 0.284 6.334
-6.167 -1.925 -1.602
2.680 -9.551 1.161
ATOMIC_POSITIONS angstrom
Er -7.578 -1.694 3.555
Er -4.064 -3.811 -0.502
Er -1.853 -2.712 3.465
Er 0.795 -4.687 2.570
Er -0.514 -7.484 4.045
Er -2.723 -8.590 0.079
Tm -4.494 -0.731 4.359
Tm -2.290 -5.650 1.771
Tl -0.546 0.089 1.991
Tl -3.629 -0.873 1.192
Tl -0.983 -2.850 0.298
Tl -4.934 -3.672 2.664
Tl -3.156 -5.507 4.940
Tl -6.238 -6.470 4.138
Tl -3.594 -8.447 3.245
Tl 0.357 -7.627 0.879
! Spin magnetization, Bohr magnetons per cell: 0.0
! Energy, eV per atom: -3.6478
! Calculated formation energy, meV per atom: -195
! Symmetry: No. 53
! DOS at the Fermi energy, states/eV/cell: 13.63
! Energy above the lowest structure with this stoichiometry, meV per atom: 112.5

[18]
! Er6Tm12Tl | Alexandria via LeMat-Bulk | PBE-GGA | relaxed; values from VASP
&SYSTEM
  ibrav = 0, nat = 19, ntyp = 3
/
ATOMIC_SPECIES
Er 167.26 Er.upf
Tm 168.93 Tm.upf
Tl 204.38 Tl.upf
CELL_PARAMETERS angstrom
-4.254 -3.503 6.253
5.745 2.449 5.520
-4.125 7.104 1.413
ATOMIC_POSITIONS angstrom
Er 0.818 1.733 10.048
Er -1.894 -1.149 5.958
Er 2.562 3.226 4.840
Er -3.452 4.317 3.138
Er -0.740 7.199 7.228
Er -5.196 2.824 8.346
Tm -2.007 1.677 8.463
Tm 0.404 4.219 7.778
Tm -3.014 4.709 6.871
Tm -0.627 4.373 4.723
Tm -3.038 1.831 5.408
Tm 0.380 1.341 6.315
Tm -0.482 2.993 1.610
Tm -3.883 5.728 10.005
Tm -0.391 5.975 10.589
Tm -2.152 3.057 11.576
Tm 1.249 0.322 3.181
Tm -2.243 0.075 2.597
Tl 0.000 0.000 0.000
! Spin magnetization, Bohr magnetons per cell: 0.0
! Energy, eV per atom: -4.2921
! Calculated formation energy, meV per atom: 97
! Symmetry: No. 148
! DOS at the Fermi energy, states/eV/cell: 27.06

[19]
! Er2Tm4Tl | Alexandria via LeMat-Bulk | PBE-GGA | relaxed; values from VASP
&SYSTEM
  ibrav = 0, nat = 7, ntyp = 3
/
ATOMIC_SPECIES
Er 167.26 Er.upf
Tm 168.93 Tm.upf
Tl 204.38 Tl.upf
CELL_PARAMETERS angstrom
3.429 0.000 0.000
0.000 8.462 0.167
-1.714 -3.780 7.142
ATOMIC_POSITIONS angstrom
Er 1.714 5.132 4.161
Er 0.000 -0.451 3.149
Tm 1.714 -0.707 6.093
Tm 0.000 5.389 1.217
Tm 1.714 2.427 2.039
Tm 0.000 2.254 5.271
Tl 0.000 0.000 0.000
! Spin magnetization, Bohr magnetons per cell: 0.0
! Energy, eV per atom: -4.1826
! Calculated formation energy, meV per atom: 14
! Symmetry: No. 12
! DOS at the Fermi energy, states/eV/cell: 9.06
! Energy above the lowest structure with this stoichiometry, meV per atom: 74.4

[20]
! Er6TmTl2 | Alexandria via LeMat-Bulk | PBE-GGA | relaxed; values from VASP
&SYSTEM
  ibrav = 0, nat = 9, ntyp = 3
/
ATOMIC_SPECIES
Er 167.26 Er.upf
Tm 168.93 Tm.upf
Tl 204.38 Tl.upf
CELL_PARAMETERS angstrom
3.704 0.000 0.000
1.852 6.294 0.471
1.852 1.776 11.413
ATOMIC_POSITIONS angstrom
Er 3.704 3.440 1.648
Er 3.704 4.631 10.236
Er 3.704 6.029 7.045
Er 5.556 4.928 4.254
Er 1.852 3.142 7.631
Er 3.704 2.042 4.839
Tm 0.000 0.000 0.000
Tl 1.852 0.864 2.366
Tl 5.556 7.206 9.519
! Spin magnetization, Bohr magnetons per cell: 0.0
! Energy, eV per atom: -4.2105
! Calculated formation energy, meV per atom: -146
! Symmetry: No. 12
! DOS at the Fermi energy, states/eV/cell: 10.25